[1]
Here is a geometry-optimized SmBeSi2Ni structure from Alexandria via LeMat-Bulk. Energies are from PBE-GGA.

Symmetry: I-4m2
Uncorrected formation energy in kJ/mol of atoms: -66

Cell: 3.933 3.933 5.636 Å, 110.42 110.42 90.00°
Positions (direct):
Ni (0.250, 0.750, 0.500)
Be (0.750, 0.250, 0.500)
Si (0.625, 0.625, 0.251)
Si (0.375, 0.375, 0.749)
Sm (0.000, 0.000, 0.000)

[2]
Here is a geometry-optimized KTaSb2 structure from Alexandria via LeMat-Bulk. Energies are from PBE-GGA.

Symmetry: Cmm2
Uncorrected formation energy in kJ/mol of atoms: 44
E above lowest polymorph in meV/atom: 550

Cell: 3.054 3.054 12.185 Å, 90.00 90.00 95.23°
Positions (direct):
Sb (0.500, 0.500, 0.302)
Sb (0.000, 0.000, 0.982)
Ta (0.000, 0.000, 0.477)
K (0.500, 0.500, 0.739)

[3]
Here is a geometry-optimized LaPr2Ga structure from Alexandria via LeMat-Bulk. Energies are from PBE-GGA.

Symmetry: R3m
E above lowest polymorph in meV/atom: 184
E_form in eV per atom: -0.07

Cell: 5.133 5.133 6.553 Å, 66.94 66.94 60.00°
Positions (direct):
Pr (0.050, 0.050, 0.851)
Pr (0.275, 0.275, 0.175)
Ga (0.683, 0.683, 0.950)
La (0.492, 0.492, 0.525)

[4]
Here is a geometry-optimized AcMg3N3 structure from Alexandria via LeMat-Bulk. Energies are from PBE-GGA.

Symmetry: P2_1/m
Uncorrected formation energy in kJ/mol of atoms: -76

Cell: 3.510 8.668 8.214 Å, 118.82 90.00 90.00°
Positions (direct):
Mg (0.750, 0.368, 0.012)
Mg (0.250, 0.061, 0.665)
Mg (0.250, 0.203, 0.227)
Mg (0.250, 0.632, 0.988)
Mg (0.750, 0.797, 0.773)
Mg (0.750, 0.939, 0.335)
N (0.750, 0.351, 0.263)
N (0.750, 0.667, 0.149)
N (0.250, 0.649, 0.737)
N (0.250, 0.098, 0.405)
N (0.750, 0.902, 0.595)
N (0.250, 0.333, 0.851)
Ac (0.250, 0.638, 0.383)
Ac (0.750, 0.362, 0.617)

[5]
Here is a geometry-optimized Nb3Ir structure from Alexandria via LeMat-Bulk. Energies are from PBE-GGA.

Symmetry: P4/mmm
E_form in eV per atom: -0.32

Cell: 3.307 4.551 4.550 Å, 90.00 90.00 90.00°
Positions (direct):
Nb (0.000, 0.000, 0.917)
Nb (0.500, 0.000, 0.417)
Nb (0.500, 0.500, 0.917)
Ir (0.000, 0.500, 0.417)

[6]
Here is a geometry-optimized Ba2CdH2 structure from Alexandria via LeMat-Bulk. Energies are from PBE-GGA.

Symmetry: I4/mmm
E above lowest polymorph in meV/atom: 0

Cell: 4.368 4.368 8.094 Å, 74.35 74.35 90.00°
Positions (direct):
Ba (0.652, 0.652, 0.697)
Ba (0.348, 0.348, 0.303)
Cd (0.000, 0.000, 0.000)
H (0.250, 0.750, 0.500)
H (0.750, 0.250, 0.500)

[7]
Here is a geometry-optimized MnFeBr2 structure from Alexandria via LeMat-Bulk. Energies are from PBE-GGA.

Symmetry: Pmmm
Uncorrected formation energy in kJ/mol of atoms: 39
E above lowest polymorph in meV/atom: 451

Cell: 3.304 6.263 4.102 Å, 90.00 90.00 90.00°
Site moments in Bohr magnetons follow the coordinates.
Positions (direct):
Br (0.000, 0.000, 0.000)  0.08
Br (0.500, 0.500, 0.000)  0.05
Fe (0.500, 0.000, 0.500)  2.95
Mn (0.000, 0.500, 0.500)  3.96

[8]
Here is a geometry-optimized TbNd7Sc2 structure from Alexandria via LeMat-Bulk. Energies are from PBE-GGA.

Symmetry: Cmmm
E_form in eV per atom: 0.60

Cell: 5.615 8.969 8.969 Å, 119.66 90.00 90.00°
Positions (direct):
Nd (0.500, 0.696, 0.938)
Nd (0.000, 0.248, 0.752)
Nd (0.500, 0.938, 0.696)
Nd (0.500, 0.062, 0.304)
Nd (0.000, 0.752, 0.248)
Nd (0.500, 0.500, 0.500)
Nd (0.500, 0.304, 0.062)
Sc (0.500, 0.297, 0.703)
Sc (0.500, 0.703, 0.297)
Tb (0.000, 0.000, 0.000)

[9]
Here is a geometry-optimized AlAs2Rh structure from Alexandria via LeMat-Bulk. Energies are from PBE-GGA.

Symmetry: Immm
E_form in eV per atom: -0.24

Cell: 6.308 6.308 6.308 Å, 152.65 141.34 48.00°
Positions (direct):
Al (0.250, 0.750, 0.500)
As (0.566, 0.566, 0.000)
As (0.934, 0.934, 0.000)
Rh (0.750, 0.250, 0.500)

[10]
Here is a geometry-optimized LiAc5Cd6 structure from Alexandria via LeMat-Bulk. Energies are from PBE-GGA.

Symmetry: C2/m
E_form in eV per atom: -0.26

Cell: 5.679 9.837 9.837 Å, 120.59 106.76 106.76°
Positions (direct):
Cd (0.769, 0.924, 0.613)
Cd (0.769, 0.613, 0.924)
Cd (0.231, 0.076, 0.387)
Cd (0.276, 0.777, 0.777)
Cd (0.724, 0.223, 0.223)
Cd (0.231, 0.387, 0.076)
Ac (0.500, 0.500, 0.500)
Ac (0.500, 0.830, 0.170)
Ac (0.000, 0.666, 0.334)
Ac (0.000, 0.334, 0.666)
Ac (0.500, 0.170, 0.830)
Li (0.000, 0.000, 0.000)

[11]
Here is a geometry-optimized HfNiSN2 structure from Alexandria via LeMat-Bulk. Energies are from PBE-GGA.

Symmetry: P4/mmm
Uncorrected formation energy in kJ/mol of atoms: 59
E above lowest polymorph in meV/atom: 187

Cell: 4.077 4.077 5.152 Å, 90.00 90.00 90.00°
Site moments in Bohr magnetons follow the coordinates.
Positions (direct):
Hf (0.000, 0.000, 0.000)  -0.03
N (0.000, 0.500, 0.000)  0.53
N (0.500, 0.000, 0.000)  0.53
S (0.000, 0.000, 0.500)  0.22
Ni (0.500, 0.500, 0.500)  1.22

[12]
Here is a geometry-optimized Li3Pm4Sn4 structure from Alexandria via LeMat-Bulk. Energies are from PBE-GGA.

Symmetry: Immm
E_form in eV per atom: -0.27

Cell: 4.685 7.949 10.313 Å, 112.67 103.13 90.00°
Positions (direct):
Pm (0.333, 0.085, 0.666)
Pm (0.667, 0.915, 0.334)
Pm (0.333, 0.582, 0.666)
Pm (0.667, 0.418, 0.334)
Sn (0.500, 0.187, 0.000)
Sn (0.189, 0.689, 0.379)
Sn (0.500, 0.813, 0.000)
Sn (0.811, 0.311, 0.621)
Li (0.000, 0.500, 0.000)
Li (0.928, 0.928, 0.856)
Li (0.072, 0.072, 0.144)

[13]
Here is a geometry-optimized Li2MgCd4 structure from Alexandria via LeMat-Bulk. Energies are from PBE-GGA.

Symmetry: I4/mmm
E above lowest polymorph in meV/atom: 314
E_form in eV per atom: 0.20

Cell: 5.307 5.307 8.030 Å, 109.29 109.29 90.00°
Positions (direct):
Li (0.402, 0.402, 0.804)
Li (0.598, 0.598, 0.196)
Cd (0.793, 0.793, 0.585)
Cd (0.500, 0.000, 0.000)
Cd (0.000, 0.500, 0.000)
Cd (0.207, 0.207, 0.415)
Mg (0.000, 0.000, 0.000)

Calculated volume, 75.8; 113.2; 133.4; 109.5; 68.5; 142.7; 84.9; 392.5; 71.8; 384.6; 85.6; 343.5; 199.9 Å³/f.u. (same order as the records).